Below is CsNpMo2O8 after structural relaxation, with properties calculated at the PBE+U level.

```
12
Lattice="6.093 0.000 0.000 -3.046 5.276 0.000 0.000 0.000 8.492" Properties=species:S:1:pos:R:3 pbc="T T T"
Mo 3.046 1.759 2.270
O 0.000 3.518 7.977
Np 0.000 0.000 4.246
O 3.046 1.759 0.515
Mo 0.000 3.518 6.221
O -1.505 4.383 5.617
O 3.043 3.495 2.875
O 4.551 0.894 2.875
O 1.502 4.388 5.617
O 0.003 1.782 5.617
Cs 0.000 0.000 0.000
O 1.544 0.888 2.875
```

Output
Raw total energy (eV/atom): -7.66
Size of the total moment (Bohr magnetons per cell): 4.00